Record 1
## Ba3Al2P4 (PBE)

Data for a relaxed structure of Ba3Al2P4.

a = 15.658 Å, b = 8.980 Å, c = 7.772 Å
α = 90.00°, β = 91.01°, γ = 90.00°
Space group C2/c (No. 15)
One atom of each set of equivalent atoms:
Ba (0.000, 0.030, 0.250) [4 per cell]
Ba (0.129, 0.388, 0.603) [8 per cell]
Al (0.179, 0.114, 0.976) [8 per cell]
P (0.067, 0.274, 0.987) [8 per cell]
P (0.216, 0.063, 0.684) [8 per cell]

Output
Calculated density (g cm⁻³): 3.6
Formation energy (meV per atom): -792.0
Calculated volume (Å³ per cell): 1092.7
Energy above the most stable polymorph in this dataset (eV per formula unit): 1.56


Record 2
## Ba2AlP (PBE)

Data for a relaxed structure of Ba2AlP.

a = 5.041 Å, b = 5.544 Å, c = 9.603 Å
α = 90.00°, β = 90.00°, γ = 90.00°
Space group Cmm2 (No. 35)
One atom of each set of equivalent atoms:
Ba (0.000, 0.000, 0.000) [2 per cell]
Ba (0.000, 0.500, 0.423) [2 per cell]
Al (0.000, 0.500, 0.753) [2 per cell]
P (0.000, 0.000, 0.654) [2 per cell]

Output
Calculated density (g cm⁻³): 4.1
N(E_F) (states/eV/cell): 5.0
Formation energy (meV per atom): -212.0
Calculated volume (Å³ per cell): 268.4
Energy above the most stable polymorph in this dataset (eV per formula unit): 1.49


Record 3
## Ba2AlP (PBE)

Data for a relaxed structure of Ba2AlP.

a = 4.048 Å, b = 5.151 Å, c = 11.917 Å
α = 90.00°, β = 90.00°, γ = 90.00°
Space group Imm2 (No. 44)
One atom of each set of equivalent atoms:
Ba (0.000, 0.000, 0.000) [2 per cell]
Ba (0.000, 0.500, 0.217) [2 per cell]
Al (0.000, 0.000, 0.418) [2 per cell]
P (0.000, 0.500, 0.792) [2 per cell]

Output
Calculated density (g cm⁻³): 4.4
N(E_F) (states/eV/cell): 4.1
Formation energy (meV per atom): -523.2
Calculated volume (Å³ per cell): 248.5
Energy above the most stable polymorph in this dataset (eV per formula unit): 0.24


Record 4
## Ba2AlP (PBE)

Data for a relaxed structure of Ba2AlP.

a = 4.762 Å, b = 4.762 Å, c = 6.781 Å
α = 90.00°, β = 90.00°, γ = 90.00°
Space group P4mm (No. 99)
One atom of each set of equivalent atoms:
Ba (0.000, 0.000, 0.000) [1 per cell]
Ba (0.500, 0.500, 0.462) [1 per cell]
Al (0.500, 0.500, 0.944) [1 per cell]
P (0.000, 0.000, 0.519) [1 per cell]

Output
Calculated density (g cm⁻³): 3.6
N(E_F) (states/eV/cell): 4.9
Formation energy (meV per atom): -91.6
Calculated volume (Å³ per cell): 153.8
Energy above the most stable polymorph in this dataset (eV per formula unit): 1.97


Q: What is the energy above the most stable polymorph in this dataset in the fourth record?
A: 1.97 eV per formula unit


Q: What is the calculated density in the third record?
A: 4.4 g cm⁻³


Q: The highest formation energy belongs to which entry?
A: number 4


Q: Look up the formation energy of the fourth one.
A: -91.6 meV per atom